# 1
# Tb8NdDy4 PBE relaxed
# Magnetization: 0.00 μB per formula unit
# Energy relative to the elements: 0.19 eV per atom
# Calculated volume: 32.37 Å³/atom
# E_tot: -4.441 eV/atom
data_Tb8NdDy4
_chemical_formula_sum 'Tb24 Nd3 Dy12'
_cell_length_a 7.3128
_cell_length_b 7.3128
_cell_length_c 27.2600
_cell_angle_alpha 90.00
_cell_angle_beta 90.00
_cell_angle_gamma 120.00
_symmetry_space_group_name_H-M 'R -3 m'
_symmetry_Int_Tables_number 166
_symmetry_space_group_name_Hall '-R 3 2"'
loop_
_atom_site_label
_atom_site_type_symbol
_atom_site_fract_x
_atom_site_fract_y
_atom_site_fract_z
Tb1 Tb 0.0000 0.0000 0.2179
Tb2 Tb 0.0366 0.5183 0.7678
Nd1 Nd 0.0000 0.0000 0.5000
Dy1 Dy 0.0000 0.0000 0.0000
Dy2 Dy 0.0000 0.5000 0.0000

# 2
# TbNdDy PBE relaxed
# Magnetization: 0.00 μB per formula unit
# Energy relative to the elements: 0.04 eV per atom
# Calculated volume: 32.94 Å³/atom
# Offset from the most stable computed form: 22.1 meV per atom
# E_tot: -4.626 eV/atom
data_TbNdDy
_chemical_formula_sum 'Tb2 Nd2 Dy2'
_cell_length_a 3.552
_cell_length_b 5.457
_cell_length_c 10.351
_cell_angle_alpha 90.00
_cell_angle_beta 99.89
_cell_angle_gamma 90.00
_symmetry_space_group_name_H-M 'P 1 21/m 1'
_symmetry_Int_Tables_number 11
_symmetry_space_group_name_Hall '-P 2yb'
loop_
_atom_site_label
_atom_site_type_symbol
_atom_site_fract_x
_atom_site_fract_y
_atom_site_fract_z
Tb1 Tb 0.041 0.250 0.082
Nd1 Nd 0.207 0.250 0.412
Dy1 Dy 0.384 0.250 0.770

# 3
# TbNd5Dy4 PBE relaxed
# Magnetization: 0.00 μB per formula unit
# Energy relative to the elements: 0.02 eV per atom
# Calculated volume: 33.30 Å³/atom
# Offset from the most stable computed form: 0.0 meV per atom
# E_tot: -4.672 eV/atom
data_TbNd5Dy4
_chemical_formula_sum 'Tb1 Nd5 Dy4'
_cell_length_a 3.615
_cell_length_b 9.539
_cell_length_c 10.230
_cell_angle_alpha 74.24
_cell_angle_beta 89.94
_cell_angle_gamma 79.16
_symmetry_space_group_name_H-M 'P -1'
_symmetry_Int_Tables_number 2
_symmetry_space_group_name_Hall '-P 1'
loop_
_atom_site_label
_atom_site_type_symbol
_atom_site_fract_x
_atom_site_fract_y
_atom_site_fract_z
Tb1 Tb 0.000 0.000 0.000
Nd1 Nd 0.000 0.000 0.500
Nd2 Nd 0.201 0.599 0.600
Nd3 Nd 0.400 0.200 0.196
Dy1 Dy 0.200 0.601 0.100
Dy2 Dy 0.399 0.201 0.704

# 4
# Tb3Nd8Dy3 PBE relaxed
# Magnetization: 0.00 μB per formula unit
# Energy relative to the elements: 0.11 eV per atom
# Calculated volume: 33.95 Å³/atom
# E_tot: -4.596 eV/atom
data_Tb3Nd8Dy3
_chemical_formula_sum 'Tb6 Nd16 Dy6'
_cell_length_a 5.701
_cell_length_b 10.937
_cell_length_c 15.249
_cell_angle_alpha 90.00
_cell_angle_beta 90.00
_cell_angle_gamma 90.00
_symmetry_space_group_name_H-M 'I m m m'
_symmetry_Int_Tables_number 71
_symmetry_space_group_name_Hall '-I 2 2'
loop_
_atom_site_label
_atom_site_type_symbol
_atom_site_fract_x
_atom_site_fract_y
_atom_site_fract_z
Tb1 Tb 0.000 0.000 0.000
Tb2 Tb 0.000 0.500 0.320
Nd1 Nd 0.000 0.158 0.276
Nd2 Nd 0.000 0.337 0.104
Dy1 Dy 0.000 0.000 0.500
Dy2 Dy 0.000 0.302 0.500

# 5
# Tb2Nd7Dy PBE relaxed
# Magnetization: 0.00 μB per formula unit
# Energy relative to the elements: 0.64 eV per atom
# Calculated volume: 41.47 Å³/atom
# Offset from the most stable computed form: 260.4 meV per atom
# E_tot: -4.087 eV/atom
data_Tb2Nd7Dy
_chemical_formula_sum 'Tb4 Nd14 Dy2'
_cell_length_a 8.836
_cell_length_b 16.697
_cell_length_c 5.622
_cell_angle_alpha 90.00
_cell_angle_beta 90.00
_cell_angle_gamma 90.00
_symmetry_space_group_name_H-M 'C m m m'
_symmetry_Int_Tables_number 65
_symmetry_space_group_name_Hall '-C 2 2'
loop_
_atom_site_label
_atom_site_type_symbol
_atom_site_fract_x
_atom_site_fract_y
_atom_site_fract_z
Tb1 Tb 0.000 0.205 0.000
Nd1 Nd 0.000 0.000 0.000
Nd2 Nd 0.000 0.284 0.500
Nd3 Nd 0.179 0.388 0.000
Dy1 Dy 0.000 0.500 0.500

# 6
# Tb2Nd9Dy PBE relaxed
# Magnetization: 0.00 μB per formula unit
# Energy relative to the elements: 0.02 eV per atom
# Calculated volume: 34.33 Å³/atom
# E_tot: -4.716 eV/atom
data_Tb2Nd9Dy
_chemical_formula_sum 'Tb2 Nd9 Dy1'
_cell_length_a 5.159
_cell_length_b 5.159
_cell_length_c 15.478
_cell_angle_alpha 90.00
_cell_angle_beta 90.00
_cell_angle_gamma 90.00
_symmetry_space_group_name_H-M 'P 4/m m m'
_symmetry_Int_Tables_number 123
_symmetry_space_group_name_Hall '-P 4 2'
loop_
_atom_site_label
_atom_site_type_symbol
_atom_site_fract_x
_atom_site_fract_y
_atom_site_fract_z
Tb1 Tb 0.000 0.000 0.167
Nd1 Nd 0.000 0.500 0.000
Nd2 Nd 0.000 0.500 0.334
Nd3 Nd 0.500 0.500 0.167
Nd4 Nd 0.500 0.500 0.500
Dy1 Dy 0.000 0.000 0.500

# 7
# Tb3Nd3Dy4 PBE relaxed
# Magnetization: 0.00 μB per formula unit
# Energy relative to the elements: 0.10 eV per atom
# Calculated volume: 33.34 Å³/atom
# E_tot: -4.563 eV/atom
data_Tb3Nd3Dy4
_chemical_formula_sum 'Tb6 Nd6 Dy8'
_cell_length_a 3.702
_cell_length_b 13.392
_cell_length_c 13.448
_cell_angle_alpha 90.00
_cell_angle_beta 90.00
_cell_angle_gamma 90.00
_symmetry_space_group_name_H-M 'A m m 2'
_symmetry_Int_Tables_number 38
_symmetry_space_group_name_Hall 'A 2 -2'
loop_
_atom_site_label
_atom_site_type_symbol
_atom_site_fract_x
_atom_site_fract_y
_atom_site_fract_z
Tb1 Tb 0.000 0.000 0.000
Tb2 Tb 0.500 0.247 0.075
Nd1 Nd 0.000 0.000 0.653
Nd2 Nd 0.000 0.174 0.325
Dy1 Dy 0.500 0.000 0.200
Dy2 Dy 0.500 0.000 0.451
Dy3 Dy 0.500 0.125 0.828

# 8
# Tb4Nd5Dy PBE relaxed
# Magnetization: 0.00 μB per formula unit
# Energy relative to the elements: 0.14 eV per atom
# Calculated volume: 34.60 Å³/atom
# Offset from the most stable computed form: 128.5 meV per atom
# E_tot: -4.552 eV/atom
data_Tb4Nd5Dy
_chemical_formula_sum 'Tb8 Nd10 Dy2'
_cell_length_a 18.310
_cell_length_b 3.610
_cell_length_c 10.527
_cell_angle_alpha 90.00
_cell_angle_beta 96.10
_cell_angle_gamma 90.00
_symmetry_space_group_name_H-M 'C 1 2/m 1'
_symmetry_Int_Tables_number 12
_symmetry_space_group_name_Hall '-C 2y'
loop_
_atom_site_label
_atom_site_type_symbol
_atom_site_fract_x
_atom_site_fract_y
_atom_site_fract_z
Tb1 Tb 0.045 0.000 0.262
Tb2 Tb 0.182 0.500 0.413
Nd1 Nd 0.000 0.500 0.000
Nd2 Nd 0.142 0.000 0.730
Nd3 Nd 0.189 0.000 0.098
Dy1 Dy 0.000 0.500 0.500

# 9
# Tb3Nd2Dy7 PBE relaxed
# Magnetization: 0.00 μB per formula unit
# Energy relative to the elements: 0.11 eV per atom
# Calculated volume: 32.57 Å³/atom
# Offset from the most stable computed form: 32.2 meV per atom
# E_tot: -4.527 eV/atom
data_Tb3Nd2Dy7
_chemical_formula_sum 'Tb6 Nd4 Dy14'
_cell_length_a 5.704
_cell_length_b 37.952
_cell_length_c 3.611
_cell_angle_alpha 90.00
_cell_angle_beta 90.00
_cell_angle_gamma 90.00
_symmetry_space_group_name_H-M 'C m m m'
_symmetry_Int_Tables_number 65
_symmetry_space_group_name_Hall '-C 2 2'
loop_
_atom_site_label
_atom_site_type_symbol
_atom_site_fract_x
_atom_site_fract_y
_atom_site_fract_z
Tb1 Tb 0.000 0.000 0.000
Tb2 Tb 0.000 0.186 0.000
Nd1 Nd 0.000 0.353 0.500
Dy1 Dy 0.000 0.090 0.500
Dy2 Dy 0.000 0.269 0.500
Dy3 Dy 0.000 0.429 0.000
Dy4 Dy 0.000 0.500 0.500

# 10
# Tb3Nd2Dy7 PBE relaxed
# Magnetization: 0.00 μB per formula unit
# Energy relative to the elements: 0.08 eV per atom
# Calculated volume: 32.44 Å³/atom
# Offset from the most stable computed form: 0.0 meV per atom
# E_tot: -4.559 eV/atom
data_Tb3Nd2Dy7
_chemical_formula_sum 'Tb3 Nd2 Dy7'
_cell_length_a 6.347
_cell_length_b 3.525
_cell_length_c 17.500
_cell_angle_alpha 90.00
_cell_angle_beta 96.15
_cell_angle_gamma 90.00
_symmetry_space_group_name_H-M 'P 1 2/m 1'
_symmetry_Int_Tables_number 10
_symmetry_space_group_name_Hall '-P 2y'
loop_
_atom_site_label
_atom_site_type_symbol
_atom_site_fract_x
_atom_site_fract_y
_atom_site_fract_z
Tb1 Tb 0.000 0.000 0.000
Tb2 Tb 0.048 0.500 0.658
Nd1 Nd 0.441 0.000 0.327
Dy1 Dy 0.225 0.500 0.163
Dy2 Dy 0.244 0.000 0.501
Dy3 Dy 0.273 0.000 0.834
Dy4 Dy 0.500 0.500 0.000

# 11
# TbNd3Dy3 PBE relaxed
# Magnetization: 0.00 μB per formula unit
# Energy relative to the elements: 0.20 eV per atom
# Calculated volume: 34.61 Å³/atom
# Offset from the most stable computed form: 179.2 meV per atom
# E_tot: -4.476 eV/atom
data_TbNd3Dy3
_chemical_formula_sum 'Tb6 Nd18 Dy18'
_cell_length_a 8.7255
_cell_length_b 8.7255
_cell_length_c 22.0447
_cell_angle_alpha 90.00
_cell_angle_beta 90.00
_cell_angle_gamma 120.00
_symmetry_space_group_name_H-M 'R -3'
_symmetry_Int_Tables_number 148
_symmetry_space_group_name_Hall '-R 3'
loop_
_atom_site_label
_atom_site_type_symbol
_atom_site_fract_x
_atom_site_fract_y
_atom_site_fract_z
Tb1 Tb 0.0000 0.0000 0.1559
Nd1 Nd 0.0472 0.4474 0.3819
Dy1 Dy 0.0050 0.2333 0.5580

# 12
# TbNd3Dy PBE relaxed
# Magnetization: 0.00 μB per formula unit
# Energy relative to the elements: 0.19 eV per atom
# Calculated volume: 34.44 Å³/atom
# Offset from the most stable computed form: 176.3 meV per atom
# E_tot: -4.518 eV/atom
data_TbNd3Dy
_chemical_formula_sum 'Tb4 Nd12 Dy4'
_cell_length_a 17.458
_cell_length_b 6.886
_cell_length_c 6.097
_cell_angle_alpha 90.00
_cell_angle_beta 109.98
_cell_angle_gamma 90.00
_symmetry_space_group_name_H-M 'C 1 2/m 1'
_symmetry_Int_Tables_number 12
_symmetry_space_group_name_Hall '-C 2y'
loop_
_atom_site_label
_atom_site_type_symbol
_atom_site_fract_x
_atom_site_fract_y
_atom_site_fract_z
Tb1 Tb 0.052 0.000 0.301
Nd1 Nd 0.151 0.233 0.901
Nd2 Nd 0.225 0.500 0.473
Dy1 Dy 0.000 0.500 0.000
Dy2 Dy 0.000 0.500 0.500